Compound: VOF
Source: Alexandria
Functional: GGA+U
Structure: relaxed

```
data_VOF
_symmetry_space_group_name_H-M 'P 1'
_symmetry_Int_Tables_number 1
_symmetry_space_group_name_Hall 'P 1'
_cell_length_a 4.698
_cell_length_b 6.235
_cell_length_c 9.485
_cell_angle_alpha 90.00
_cell_angle_beta 90.56
_cell_angle_gamma 90.00
loop_
_atom_site_label
_atom_site_fract_x
_atom_site_fract_y
_atom_site_fract_z
V1 0.000 0.000 0.000
V2 0.000 0.000 0.500
V3 0.000 0.500 0.000
V4 0.000 0.500 0.500
V5 0.471 0.249 0.265
V6 0.471 0.251 0.765
V7 0.529 0.749 0.235
V8 0.529 0.751 0.735
O1 0.185 0.245 0.411
O2 0.185 0.255 0.911
O3 0.310 0.000 0.157
O4 0.310 0.500 0.657
O5 0.690 0.000 0.843
O6 0.690 0.500 0.343
O7 0.815 0.745 0.089
O8 0.815 0.755 0.589
F1 0.212 0.746 0.897
F2 0.212 0.754 0.397
F3 0.293 0.000 0.651
F4 0.293 0.500 0.151
F5 0.707 0.000 0.349
F6 0.707 0.500 0.849
F7 0.788 0.246 0.603
F8 0.788 0.254 0.103
```

- Crystal system: monoclinic
- Total DFT energy (no corrections): -171.7 eV/cell